Entry 1:
DFT (PBE) results for crystalline KPr2AgTe4 at its relaxed geometry.

Cell and atoms, written as POSCAR:
```
KPr2AgTe4
1.0
2.288 -7.681 0.000
2.288 7.681 0.000
0.000 0.000 16.091
K Pr Ag Te
2 4 2 8
Direct
0.122 0.878 0.750 K
0.878 0.122 0.250 K
0.367 0.633 0.569 Pr
0.367 0.633 0.931 Pr
0.633 0.367 0.069 Pr
0.633 0.367 0.431 Pr
0.156 0.844 0.250 Ag
0.844 0.156 0.750 Ag
0.000 0.000 0.000 Te
0.000 0.000 0.500 Te
0.270 0.730 0.111 Te
0.270 0.730 0.389 Te
0.451 0.549 0.750 Te
0.549 0.451 0.250 Te
0.730 0.270 0.611 Te
0.730 0.270 0.889 Te
```

Properties
ρ in g/cm³: 5.515
Total moment in μB per formula unit: 0.0
DFT total energy in eV/cell: -71.155


Entry 2:
DFT (PBE) results for crystalline PaAl11Pd at its relaxed geometry.

Cell and atoms, written as POSCAR:
```
PaAl11Pd
1.0
2.638 -6.313 0.000
2.638 6.313 0.000
-2.394 0.000 6.660
Pa Al Pd
1 11 1
Direct
0.000 0.000 0.000 Pa
0.000 0.000 0.500 Al
0.000 0.500 0.000 Al
0.005 0.652 0.647 Al
0.287 0.501 0.783 Al
0.348 0.995 0.353 Al
0.499 0.713 0.217 Al
0.500 0.000 0.000 Al
0.501 0.287 0.783 Al
0.652 0.005 0.647 Al
0.713 0.499 0.217 Al
0.995 0.348 0.353 Al
0.500 0.500 0.500 Pd
```

Properties
ρ in g/cm³: 4.748
Total moment in μB per formula unit: 0.0
DFT total energy in eV/cell: -58.562
ΔH_f (0 K) in meV/atom: -208


Entry 3:
DFT (PBE) results for crystalline TbGdAu2 at its relaxed geometry.

Cell and atoms, written as POSCAR:
```
TbGdAu2
1.0
2.128 1.229 6.846
-2.128 1.229 6.846
0.000 -2.457 6.846
Tb Gd Au
1 1 2
Direct
0.000 0.000 0.000 Tb
0.500 0.500 0.500 Gd
0.252 0.252 0.252 Au
0.748 0.748 0.748 Au
```

Properties
ρ in g/cm³: 10.979
Total moment in μB per formula unit: 7.2
DFT total energy in eV/cell: -28.146
ΔH_f (0 K) in meV/atom: -720